[1]
HfPa2Nb3N6: relaxed, GGA-PBE.

Geometry as POSCAR:
```
HfPa2Nb3N6
1.0
2.890 -5.012 0.000
2.890 5.012 0.000
-1.945 0.000 5.169
Hf Pa Nb N
1 2 3 6
Cartesian
0.000 0.000 0.000
2.890 1.662 0.000
2.890 -1.662 0.000
1.917 3.343 2.584
1.917 0.000 2.584
1.917 -3.343 2.584
0.915 1.606 1.318
-0.093 0.000 3.828
0.915 -1.606 1.318
2.919 1.606 3.851
3.927 0.000 1.340
2.919 -1.606 3.851
```

Values from the calculation:
The formation energy without anion corrections is -1.3284 eV/atom. Its volume is 12.48 A^3/atom. The value obtained for the uncorrected energy is -10.42 eV per atom. As for the crystal system: monoclinic.

=====

[2]
CeAlPd4: relaxed, GGA-PBE.

Geometry as POSCAR:
```
CeAlPd4
1.0
7.744 0.000 0.000
0.000 3.933 0.000
0.000 0.000 7.002
Ce Al Pd
2 2 8
Cartesian
1.936 0.000 1.050
5.808 0.000 5.952
1.936 0.000 5.000
5.808 0.000 2.002
0.000 0.000 3.501
0.404 1.967 5.654
1.936 1.967 3.183
3.468 1.967 5.654
3.872 0.000 3.501
4.276 1.967 1.347
5.808 1.967 3.819
7.341 1.967 1.347
```

Values from the calculation:
The formation energy is -0.73 eV per atom. Its volume is 17.77 A^3/atom. The value obtained for the uncorrected energy is -5.81 eV per atom. As for the crystal system: orthorhombic.